(1)
Density functional theory data (GGA-PBE) for a geometry-optimized AgIrPt2 structure.

abc: 2.790 2.790 8.152
angles: 90.00 90.00 90.00
Sites, in units of the cell vectors:
1 Ir 0.500 0.500 0.750
2 Pt 0.000 0.000 0.983
3 Pt 0.000 0.000 0.517
4 Ag 0.500 0.500 0.250

Output
excess energy over the best structure of this formula in the dataset	0.022	eV per atom
crystal system	tetragonal
formation enthalpy at 0 K	0.070	eV per atom

---

(2)
Density functional theory data (GGA-PBE) for a geometry-optimized AgIr2Pt structure.

abc: 9.360 9.360 9.360
angles: 17.10 17.10 17.10
Sites, in units of the cell vectors:
1 Ir 0.997 0.997 0.997
2 Ir 0.503 0.503 0.503
3 Ag 0.750 0.750 0.750
4 Pt 0.250 0.250 0.250

Output
excess energy over the best structure of this formula in the dataset	0.142	eV per atom
crystal system	trigonal
formation enthalpy at 0 K	0.246	eV per atom

---

(3)
Density functional theory data (GGA-PBE) for a geometry-optimized Ag2IrPt structure.

abc: 4.534 4.534 4.534
angles: 60.00 60.00 60.00
Each line ends with the local moment (μB).
Sites, in units of the cell vectors:
1 Ag 0.750 0.750 0.750  0.02
2 Ag 0.000 0.000 0.000  0.01
3 Ir 0.500 0.500 0.500  0.57
4 Pt 0.250 0.250 0.250  0.29

Output
excess energy over the best structure of this formula in the dataset	0.247	eV per atom
crystal system	cubic
formation enthalpy at 0 K	0.411	eV per atom

---

(4)
Density functional theory data (GGA-PBE) for a geometry-optimized Ag2IrPt structure.

abc: 2.808 4.018 5.835
angles: 90.00 90.00 90.00
Sites, in units of the cell vectors:
1 Ag 0.500 0.500 0.247
2 Ag 0.000 0.000 0.007
3 Pt 0.500 0.500 0.721
4 Ir 0.000 0.000 0.526

Output
excess energy over the best structure of this formula in the dataset	0.066	eV per atom
crystal system	orthorhombic
formation enthalpy at 0 K	0.231	eV per atom

---

(5)
Density functional theory data (GGA-PBE) for a geometry-optimized AgIr2Pt structure.

abc: 2.773 2.773 8.117
angles: 90.00 90.00 90.00
Sites, in units of the cell vectors:
1 Ir 0.000 0.000 0.021
2 Ir 0.500 0.500 0.241
3 Ag 0.500 0.500 0.753
4 Pt 0.000 0.000 0.484

Output
excess energy over the best structure of this formula in the dataset	0.014	eV per atom
crystal system	tetragonal
formation enthalpy at 0 K	0.118	eV per atom

---

(6)
Density functional theory data (GGA-PBE) for a geometry-optimized AgIrPt2 structure.

abc: 3.882 3.882 9.566
angles: 78.29 78.29 90.00
Sites, in units of the cell vectors:
1 Ag 0.250 0.750 0.500
2 Ag 0.500 0.500 0.000
3 Pt 0.111 0.625 0.250
4 Pt 0.639 0.125 0.250
5 Pt 0.375 0.361 0.750
6 Pt 0.875 0.889 0.750
7 Ir 0.000 0.000 0.000
8 Ir 0.750 0.250 0.500

Output
excess energy over the best structure of this formula in the dataset	0.487	eV per atom
crystal system	tetragonal
formation enthalpy at 0 K	0.534	eV per atom

---

(7)
Density functional theory data (GGA-PBE) for a geometry-optimized AgIr2Pt structure.

abc: 3.894 2.779 6.392
angles: 64.23 90.00 90.00
Sites, in units of the cell vectors:
1 Ir 0.500 0.266 0.234
2 Ir 0.000 0.975 0.026
3 Pt 0.000 0.507 0.493
4 Ag 0.500 0.752 0.747

Output
excess energy over the best structure of this formula in the dataset	0.107	eV per atom
crystal system	orthorhombic
formation enthalpy at 0 K	0.211	eV per atom

---

(8)
Density functional theory data (GGA-PBE) for a geometry-optimized Ag2IrPt structure.

abc: 5.079 5.079 4.857
angles: 81.07 81.07 31.57
Sites, in units of the cell vectors:
1 Pt 0.750 0.750 0.750
2 Ag 0.998 0.998 0.002
3 Ag 0.502 0.502 0.498
4 Ir 0.250 0.250 0.250

Output
excess energy over the best structure of this formula in the dataset	0.016	eV per atom
crystal system	monoclinic
formation enthalpy at 0 K	0.180	eV per atom